The following is a DFT calculation (PBE-GGA) of crystalline NaAcPr2 at its relaxed geometry.

## Properties
As for the distance to the lowest polymorph of the same formula: 0.00 kcal/mol of atoms. Its calculated volume is 153.5 Å³ per cell. The formation energy comes out at 117 meV per atom. The final energy comes out at -14.517 eV for the cell shown.

a = 3.782 Å, b = 3.782 Å, c = 10.731 Å
α = 90.00°, β = 90.00°, γ = 90.00°
Atoms (fractional coordinates):
Pr1 0.000 0.000 0.243
Pr2 0.000 0.000 0.757
Ac1 0.500 0.500 0.000
Na1 0.500 0.500 0.500

---

The following is a DFT calculation (PBE-GGA) of crystalline Dy10HoSc4 at its relaxed geometry.

## Properties
Its calculated volume is 496.4 Å³ per cell. The formation energy comes out at 571 meV per atom. The final energy comes out at -67.366 eV for the cell shown.

a = 9.058 Å, b = 8.678 Å, c = 8.678 Å
α = 74.20°, β = 58.54°, γ = 58.54°
Atoms (fractional coordinates):
Sc1 0.266 0.272 0.196
Sc2 0.538 0.196 0.728
Sc3 0.462 0.804 0.272
Sc4 0.734 0.728 0.804
Ho1 0.000 0.000 0.000
Dy1 0.028 0.910 0.667
Dy2 0.750 0.500 0.500
Dy3 0.250 0.500 0.500
Dy4 0.606 0.090 0.333
Dy5 0.972 0.090 0.333
Dy6 0.939 0.667 0.090
Dy7 0.304 0.667 0.090
Dy8 0.394 0.910 0.667
Dy9 0.061 0.333 0.910
Dy10 0.696 0.333 0.910

---

The following is a DFT calculation (PBE-GGA) of crystalline BaLa2Ag at its relaxed geometry.

## Properties
As for the distance to the lowest polymorph of the same formula: 5.41 kcal/mol of atoms. Its calculated volume is 137.1 Å³ per cell. The formation energy comes out at 168 meV per atom. The final energy comes out at -13.958 eV for the cell shown.

a = 6.516 Å, b = 6.516 Å, c = 6.516 Å
α = 134.82°, β = 134.82°, γ = 65.81°
Atoms (fractional coordinates):
La1 0.000 0.000 0.000
La2 0.250 0.750 0.500
Ba1 0.750 0.250 0.500
Ag1 0.500 0.500 0.000

---

The following is a DFT calculation (PBE-GGA) of crystalline SrAlFeP at its relaxed geometry.

## Properties
Its calculated volume is 166.5 Å³ per cell. The formation energy comes out at -526 meV per atom. The final energy comes out at -42.803 eV for the cell shown.

a = 3.829 Å, b = 3.829 Å, c = 11.354 Å
α = 90.00°, β = 90.00°, γ = 90.00°
Atoms (fractional coordinates):
Fe1 0.250 0.750 0.000
Fe2 0.750 0.250 0.000
Al1 0.750 0.250 0.500
Al2 0.250 0.750 0.500
Sr1 0.250 0.250 0.761
Sr2 0.750 0.750 0.239
P1 0.250 0.250 0.099
P2 0.750 0.750 0.901

---

The following is a DFT calculation (PBE-GGA) of crystalline Ce12ErOs6 at its relaxed geometry.

## Properties
Its calculated volume is 482.6 Å³ per cell. The formation energy comes out at -14 meV per atom. The final energy comes out at -143.417 eV for the cell shown.

a = 8.205 Å, b = 8.205 Å, c = 8.205 Å
α = 105.03°, β = 105.03°, γ = 105.03°
Atoms (fractional coordinates):
Ce1 0.500 0.891 0.109
Ce2 0.575 0.831 0.575
Ce3 0.425 0.169 0.425
Ce4 0.891 0.500 0.109
Ce5 0.425 0.425 0.169
Ce6 0.891 0.109 0.500
Ce7 0.831 0.575 0.575
Ce8 0.109 0.891 0.500
Ce9 0.109 0.500 0.891
Ce10 0.500 0.109 0.891
Ce11 0.575 0.575 0.831
Ce12 0.169 0.425 0.425
Os1 0.721 0.282 0.721
Os2 0.721 0.721 0.282
Os3 0.279 0.718 0.279
Os4 0.279 0.279 0.718
Os5 0.282 0.721 0.721
Os6 0.718 0.279 0.279
Er1 0.000 0.000 0.000

---

The following is a DFT calculation (PBE-GGA) of crystalline Ba2CaAg at its relaxed geometry.

## Properties
As for the distance to the lowest polymorph of the same formula: 0.63 kcal/mol of atoms. Its calculated volume is 175.2 Å³ per cell. The formation energy comes out at -106 meV per atom. The final energy comes out at -9.121 eV for the cell shown.

a = 4.170 Å, b = 4.138 Å, c = 10.966 Å
α = 67.83°, β = 90.00°, γ = 90.00°
Atoms (fractional coordinates):
Ba1 0.000 0.445 0.556
Ba2 0.000 0.055 0.944
Ag1 0.500 0.750 0.750
Ca1 0.500 0.250 0.250

---

The following is a DFT calculation (PBE-GGA) of crystalline Pr3Y2Tm6 at its relaxed geometry.

## Properties
As for the distance to the lowest polymorph of the same formula: 1.53 kcal/mol of atoms. Its calculated volume is 375.2 Å³ per cell. The formation energy comes out at 276 meV per atom. The final energy comes out at -51.059 eV for the cell shown.

a = 4.742 Å, b = 4.742 Å, c = 17.020 Å
α = 98.01°, β = 98.01°, γ = 90.00°
Atoms (fractional coordinates):
Tm1 0.121 0.621 0.243
Tm2 0.691 0.691 0.382
Tm3 0.621 0.121 0.243
Tm4 0.379 0.879 0.757
Tm5 0.879 0.379 0.757
Tm6 0.309 0.309 0.618
Y1 0.547 0.547 0.094
Y2 0.453 0.453 0.906
Pr1 0.794 0.794 0.589
Pr2 0.206 0.206 0.411
Pr3 0.000 0.000 0.000

---

The following is a DFT calculation (PBE-GGA) of crystalline Si2NiP at its relaxed geometry.

## Properties
Its calculated volume is 54.2 Å³ per cell. The formation energy (no corrections) comes out at 0.06 eV per atom. The final energy comes out at -21.803 eV for the cell shown.

a = 3.357 Å, b = 2.632 Å, c = 6.139 Å
α = 90.00°, β = 90.00°, γ = 90.00°
Atoms (fractional coordinates):
Si1 0.500 0.250 0.285
Si2 0.000 0.750 0.022
Ni1 0.000 0.750 0.459
P1 0.500 0.750 0.734